[1]
# PPb

A relaxed structure of PPb (GGA-PBE, Alexandria).

N(E_F) ... 2.87 states/eV/cell
Total energy ... -4.4162 eV per atom

abc: 9.6145 5.0989 6.8948
angles: 90.00 90.00 90.00
Last column: nearest neighbours and their distance in Å.
Positions (direct):
P: 0.0000 0.1220 0.0000  2 P 2.23
P: 0.1877 0.2864 0.1447  1 P 2.23
P: 0.3123 0.7136 0.6447  1 P 2.23
P: 0.5000 0.8780 0.5000  2 P 2.23
P: 0.6877 0.7136 0.6447  1 P 2.23
P: 0.8123 0.2864 0.1447  1 P 2.23
Pb: 0.0000 0.7133 0.2749  3 P 2.82-2.97
Pb: 0.1712 0.2177 0.5549  3 P 2.85-2.97
Pb: 0.3288 0.7823 0.0549  3 P 2.85-2.97
Pb: 0.5000 0.2867 0.7749  3 P 2.82-2.97
Pb: 0.6712 0.7823 0.0549  3 P 2.85-2.97
Pb: 0.8288 0.2177 0.5549  3 P 2.85-2.97

---

[2]
# Cr2CuRu

A relaxed structure of Cr2CuRu (GGA-PBE, Alexandria).

N(E_F) ... 5.27 states/eV/cell
Total energy ... -7.8938 eV per atom

abc: 2.6076 3.8444 5.0702
angles: 90.00 101.38 90.00
Last column: nearest neighbours and their distance in Å.
Positions (direct):
Cr: 0.0000 0.0000 0.0000  4 Cr 2.38-2.61, 2 Ru 2.53, 2 Cu 2.54-2.56
Cr: 0.3506 0.5000 0.2494  4 Cr 2.38-2.61, 2 Ru 2.54-2.57, 4 Cu 2.55-2.66
Cu: 0.9001 0.0000 0.4878  6 Cr 2.54-2.66, 2 Cu 2.61, 4 Ru 2.65-2.72
Ru: 0.4787 0.5000 0.7594  6 Cr 2.53-2.71, 2 Ru 2.61, 4 Cu 2.65-2.72

---

[3]
# BeSeBr2

A relaxed structure of BeSeBr2 (GGA-PBE, Alexandria).

Energy above the lowest structure with this stoichiometry ... 366 meV per atom
N(E_F) ... 2.27 states/eV/cell
Formation energy from raw total energies ... -0.077 eV per atom
Total energy ... -2.7157 eV per atom

abc: 7.0270 7.0270 7.4065
angles: 119.66 119.66 25.60
Last column: nearest neighbours and their distance in Å.
Positions (direct):
Be: 0.0000 0.0000 0.0000  4 Br 2.24
Se: 0.5000 0.5000 0.5000  2 Se 3.11
Br: 0.3640 0.3640 0.8726  2 Be 2.24
Br: 0.6360 0.6360 0.1274  2 Be 2.24

---

[4]
# Mg3CdPt4

A relaxed structure of Mg3CdPt4 (GGA-PBE, Alexandria).

N(E_F) ... 2.16 states/eV/cell
Total energy ... -4.4423 eV per atom

abc: 3.0066 4.6703 9.3665
angles: 90.00 90.00 90.00
Last column: nearest neighbours and their distance in Å.
Positions (direct):
Mg: 0.0000 0.0000 0.0000  8 Pt 2.69-2.78, 2 Mg 3.01
Mg: 0.0000 0.5000 0.2494  8 Pt 2.78-2.79, 2 Mg 3.01
Mg: 0.0000 0.5000 0.7506  8 Pt 2.78-2.79, 2 Mg 3.01
Cd: 0.0000 0.0000 0.5000  8 Pt 2.78-2.87, 2 Cd 3.01
Pt: 0.5000 0.0000 0.2388  6 Mg 2.69-2.78, 2 Cd 2.87, 2 Pt 3.01
Pt: 0.5000 0.0000 0.7612  6 Mg 2.69-2.78, 2 Cd 2.87, 2 Pt 3.01
Pt: 0.5000 0.5000 0.0000  8 Mg 2.78, 2 Pt 3.01
Pt: 0.5000 0.5000 0.5000  4 Cd 2.78, 4 Mg 2.79, 2 Pt 3.01

---

[5]
# Gd2CdGe

A relaxed structure of Gd2CdGe (GGA-PBE, Alexandria).

N(E_F) ... 2.23 states/eV/cell
Total energy ... -8.8642 eV per atom

abc: 8.0021 8.0021 8.0021
angles: 30.46 30.46 30.46
Last column: nearest neighbours and their distance in Å.
Positions (direct):
Gd: 0.2355 0.2355 0.2355  3 Ge 2.89
Gd: 0.7645 0.7645 0.7645  3 Ge 2.89
Cd: 0.0000 0.0000 0.0000  6 Gd 3.30
Ge: 0.5000 0.5000 0.5000  6 Gd 2.89

---

[6]
# In2MoIr

A relaxed structure of In2MoIr (GGA-PBE, Alexandria).

Energy above the lowest structure with this stoichiometry ... 177 meV per atom
N(E_F) ... 1.42 states/eV/cell
Total energy ... -6.1193 eV per atom

abc: 9.7169 9.7169 9.7169
angles: 17.74 17.74 17.74
Last column: nearest neighbours and their distance in Å.
Positions (direct):
In: 0.0000 0.0000 0.0000  3 Ir 2.93, 9 In 3.00-3.25
In: 0.2376 0.2376 0.2376  3 Mo 2.97, 9 In 3.00-3.25
Mo: 0.4866 0.4866 0.4866  3 Ir 2.67, 3 In 2.97
Ir: 0.7491 0.7491 0.7491  3 Mo 2.67, 3 In 2.93

---

[7]
# YNi2Te

A relaxed structure of YNi2Te (GGA-PBE, Alexandria).

N(E_F) ... 3.03 states/eV/cell
Formation energy from raw total energies ... -0.308 eV per atom
Total energy ... -5.6002 eV per atom

abc: 4.2804 4.2804 3.9106
angles: 90.00 90.00 90.00
Last column: nearest neighbours and their distance in Å.
Positions (direct):
Y: 0.0000 0.0000 0.0000  8 Ni 2.90, 4 Te 3.03
Ni: 0.0000 0.5000 0.5000  4 Te 2.90, 4 Y 2.90, 4 Ni 3.03
Ni: 0.5000 0.0000 0.5000  4 Te 2.90, 4 Y 2.90, 4 Ni 3.03
Te: 0.5000 0.5000 0.0000  8 Ni 2.90, 4 Y 3.03

---

[8]
# Fe7Ni3

A relaxed structure of Fe7Ni3 (GGA-PBE, Alexandria).

N(E_F) ... 9.85 states/eV/cell
Total energy ... -7.6388 eV per atom

abc: 6.7960 6.7960 5.1350
angles: 100.80 100.80 29.84
Last column: nearest neighbours and their distance in Å.
Positions (direct):
Fe: 0.0000 0.0000 0.0000  8 Fe 2.51-2.55, 4 Ni 2.57-2.58
Fe: 0.2014 0.2014 0.6018  7 Fe 2.50-2.59, 5 Ni 2.52-2.59
Fe: 0.3963 0.3963 0.1994  5 Ni 2.50-2.55, 7 Fe 2.50-2.59
Fe: 0.4026 0.4026 0.7013  4 Ni 2.51-2.55, 8 Fe 2.51-2.59
Fe: 0.5974 0.5974 0.2987  4 Ni 2.51-2.55, 8 Fe 2.51-2.59
Fe: 0.6037 0.6037 0.8006  5 Ni 2.50-2.55, 7 Fe 2.50-2.59
Fe: 0.7986 0.7986 0.3982  7 Fe 2.50-2.59, 5 Ni 2.52-2.59
Ni: 0.0000 0.0000 0.5000  12 Fe 2.51-2.59
Ni: 0.2004 0.2004 0.0978  10 Fe 2.50-2.59, 2 Ni 2.51
Ni: 0.7996 0.7996 0.9022  10 Fe 2.50-2.59, 2 Ni 2.51

---

[9]
# LiTl2Te2Se4

A relaxed structure of LiTl2Te2Se4 (GGA-PBE, Alexandria).

N(E_F) ... 4.36 states/eV/cell
Formation energy from raw total energies ... -0.247 eV per atom
Total energy ... -3.2325 eV per atom

abc: 7.9245 7.9245 9.8298
angles: 124.67 124.67 33.11
Last column: nearest neighbours and their distance in Å.
Positions (direct):
Li: 0.0000 0.0000 0.0000  6 Se 2.77-2.91
Tl: 0.1023 0.1023 0.4486  5 Se 3.14-3.34
Tl: 0.8977 0.8977 0.5514  5 Se 3.14-3.34
Te: 0.2721 0.2721 0.9167  1 Se 2.52
Te: 0.7279 0.7279 0.0833  1 Se 2.52
Se: 0.2195 0.2195 0.2719  1 Li 2.77, 2 Te 2.97
Se: 0.4727 0.4727 0.1582  1 Te 2.52
Se: 0.5273 0.5273 0.8418  1 Te 2.52
Se: 0.7805 0.7805 0.7281  1 Li 2.77, 2 Te 2.97

---

[10]
# PmNd3Pb3

A relaxed structure of PmNd3Pb3 (GGA-PBE, Alexandria).

N(E_F) ... 10.91 states/eV/cell
Total energy ... -4.5980 eV per atom

abc: 8.1271 8.1271 8.1506
angles: 90.87 90.87 113.38
Last column: nearest neighbours and their distance in Å.
Positions (direct):
Pm: 0.2069 0.2069 0.0835  4 Pb 3.05-3.23
Pm: 0.7931 0.7931 0.9165  4 Pb 3.05-3.23
Nd: 0.1338 0.1338 0.6296  1 Pb 3.11, 1 Nd 3.15
Nd: 0.2790 0.7210 0.0000  4 Pb 3.24-3.45
Nd: 0.3463 0.6537 0.5000  6 Pb 3.16-3.34
Nd: 0.6537 0.3463 0.5000  6 Pb 3.16-3.34
Nd: 0.7210 0.2790 0.0000  4 Pb 3.24-3.45
Nd: 0.8662 0.8662 0.3704  1 Pb 3.11, 1 Nd 3.15
Pb: 0.0108 0.6618 0.6862  1 Pm 3.05, 3 Nd 3.16-3.34
Pb: 0.3382 0.9892 0.3138  1 Pm 3.05, 3 Nd 3.16-3.34
Pb: 0.4502 0.4502 0.7982  5 Nd 3.11-3.45, 2 Pm 3.18-3.23, 1 Pb 3.38
Pb: 0.5498 0.5498 0.2018  5 Nd 3.11-3.45, 2 Pm 3.18-3.23, 1 Pb 3.38
Pb: 0.6618 0.0108 0.6862  1 Pm 3.05, 3 Nd 3.16-3.34
Pb: 0.9892 0.3382 0.3138  1 Pm 3.05, 3 Nd 3.16-3.34

---

[11]
# K2NaLaRe

A relaxed structure of K2NaLaRe (GGA-PBE, Alexandria).

N(E_F) ... 7.92 states/eV/cell
Total energy ... -3.3031 eV per atom

abc: 6.6923 6.6923 5.1867
angles: 90.00 90.00 90.00
Last column: nearest neighbours and their distance in Å.
Positions (direct):
K: 0.0000 0.5000 0.0000  2 Re 3.35
K: 0.5000 0.0000 0.0000  2 Re 3.35
Na: 0.0000 0.0000 0.5000  8 K 4.23, 4 La 4.73
La: 0.5000 0.5000 0.5000  2 Re 2.59
Re: 0.5000 0.5000 0.0000  2 La 2.59

---

[12]
# NdGaCo4

A relaxed structure of NdGaCo4 (GGA-PBE, Alexandria).

Energy above the lowest structure with this stoichiometry ... 12 meV per atom
N(E_F) ... 7.65 states/eV/cell
Total energy ... -6.2197 eV per atom

abc: 5.1376 5.1376 3.8880
angles: 90.00 90.00 120.00
Last column: nearest neighbours and their distance in Å.
Positions (direct):
Nd: 0.0000 0.0000 0.0000  15 Co 2.97-3.22, 3 Ga 2.97
Ga: 0.3333 0.6667 0.0000  6 Co 2.47
Co: 0.5045 0.0091 0.5000  6 Co 2.42-2.64, 2 Ga 2.47
Co: 0.5045 0.4955 0.5000  6 Co 2.42-2.64, 2 Ga 2.47
Co: 0.6667 0.3333 0.0000  6 Co 2.42
Co: 0.9909 0.4955 0.5000  6 Co 2.42-2.64, 2 Ga 2.47